Here is a relaxed Al3Ni crystal from the Alexandria database. Energies are from PBE-GGA.

Spin magnetization   0.0 μB per formula unit
Calculated formation energy   -0.26 eV per atom
DOS(E_F)   1.3 states/eV/f.u.

The structure in POSCAR format:
```
Al3Ni
1.0
3.992 0.000 0.000
0.000 5.164 0.000
0.000 0.000 5.802
Al Ni
6 2
Direct
0.250 0.006 0.158
0.250 0.494 0.158
0.250 0.750 0.581
0.750 0.250 0.419
0.750 0.506 0.842
0.750 0.994 0.842
0.250 0.250 0.762
0.750 0.750 0.238
```